{"formula": "InW2Cl", "functional": "PBEsol", "state": "relaxed", "e_above_lowest_polymorph_mev_per_atom": 0, "e_form_raw_ev_per_atom": 0.98, "dos_ef_per_ev_cell": 1.2, "e_tot_ev_per_atom": -7.168, "total_magnetization_mub_per_atom": 0.000, "lattice_angstrom": [[4.278, 0.000, 0.000], [-2.139, 4.307, -0.010], [0.000, 2.133, 3.708]], "species": ["Cl", "W", "W", "In"], "frac_coords": [[0.500, 0.000, 0.500], [0.000, 0.000, 0.000], [0.250, 0.500, 0.250], [0.750, 0.500, 0.750]]}


{"formula": "In2WCl", "functional": "PBEsol", "state": "relaxed", "e_above_lowest_polymorph_mev_per_atom": 446, "e_form_raw_ev_per_atom": 0.73, "dos_ef_per_ev_cell": 3.3, "e_tot_ev_per_atom": -4.718, "total_magnetization_mub_per_atom": 0.002, "lattice_angstrom": [[2.944, 0.000, 0.000], [0.000, 5.167, 0.000], [0.000, 0.000, 5.118]], "species": ["In", "In", "W", "Cl"], "frac_coords": [[0.000, 0.000, 0.000], [0.500, 0.000, 0.500], [0.500, 0.500, 0.000], [0.000, 0.500, 0.500]]}


{"formula": "InWCl", "functional": "PBEsol", "state": "relaxed", "e_above_lowest_polymorph_mev_per_atom": 1193, "e_form_raw_ev_per_atom": 1.63, "dos_ef_per_ev_cell": 3.5, "e_tot_ev_per_atom": -4.637, "total_magnetization_mub_per_atom": 0.194, "lattice_angstrom": [[4.386, 0.000, 0.000], [2.193, 3.798, 0.000], [2.193, 1.266, 3.581]], "species": ["W", "Cl", "In"], "frac_coords": [[0.500, 0.500, 0.500], [0.250, 0.250, 0.250], [0.000, 0.000, 0.000]]}


{"formula": "InW2Cl", "functional": "PBEsol", "state": "relaxed", "e_above_lowest_polymorph_mev_per_atom": 82, "e_form_raw_ev_per_atom": 1.06, "dos_ef_per_ev_cell": 3.7, "e_tot_ev_per_atom": -7.086, "total_magnetization_mub_per_atom": 0.000, "lattice_angstrom": [[-1.294, 1.280, 2.129], [1.673, -1.326, 1.814], [5.590, 6.423, -0.462]], "species": ["W", "W", "In", "Cl"], "frac_coords": [[0.000, 0.000, 0.239], [0.000, 0.000, 0.761], [0.500, 0.500, 0.500], [0.500, 0.500, 0.000]]}


{"formula": "In2WCl", "functional": "PBEsol", "state": "relaxed", "e_above_lowest_polymorph_mev_per_atom": 0, "e_form_raw_ev_per_atom": 0.28, "dos_ef_per_ev_cell": 2.5, "e_tot_ev_per_atom": -5.163, "total_magnetization_mub_per_atom": 0.123, "lattice_angstrom": [[3.003, 0.000, 0.000], [-1.502, 2.709, 0.000], [0.000, 0.000, 10.262]], "species": ["Cl", "In", "In", "W"], "frac_coords": [[0.500, 0.000, 0.700], [0.000, 0.000, 0.006], [0.500, 0.000, 0.278], [0.000, 0.000, 0.516]]}


{"formula": "In2WCl", "functional": "PBEsol", "state": "relaxed", "e_above_lowest_polymorph_mev_per_atom": 48, "e_form_raw_ev_per_atom": 0.33, "dos_ef_per_ev_cell": 2.8, "e_tot_ev_per_atom": -5.116, "total_magnetization_mub_per_atom": 0.001, "lattice_angstrom": [[-0.903, 1.177, -2.699], [2.314, -1.462, -1.412], [-4.879, -6.545, -1.222]], "species": ["In", "In", "W", "Cl"], "frac_coords": [[0.000, 0.000, 0.771], [0.000, 0.000, 0.229], [0.500, 0.500, 0.000], [0.500, 0.500, 0.500]]}


{"formula": "InW2Cl", "functional": "PBEsol", "state": "relaxed", "e_above_lowest_polymorph_mev_per_atom": 283, "e_form_raw_ev_per_atom": 1.27, "dos_ef_per_ev_cell": 5.5, "e_tot_ev_per_atom": -6.886, "total_magnetization_mub_per_atom": 0.215, "lattice_angstrom": [[4.530, 0.000, 0.000], [2.265, 3.923, 0.000], [2.265, 1.308, 3.699]], "species": ["W", "W", "Cl", "In"], "frac_coords": [[0.250, 0.250, 0.250], [0.750, 0.750, 0.750], [0.000, 0.000, 0.000], [0.500, 0.500, 0.500]]}


{"formula": "ZnInWCl2", "functional": "PBEsol", "state": "relaxed", "e_form_raw_ev_per_atom": 0.28, "dos_ef_per_ev_cell": 2.3, "e_tot_ev_per_atom": -4.200, "total_magnetization_mub_per_atom": 0.000, "lattice_angstrom": [[4.566, 0.000, 0.000], [0.000, 4.566, 0.000], [0.000, 0.000, 5.656]], "species": ["Cl", "Cl", "W", "Zn", "In"], "frac_coords": [[0.000, 0.500, 0.000], [0.500, 0.000, 0.000], [0.000, 0.000, 0.000], [0.500, 0.500, 0.500], [0.000, 0.000, 0.500]]}


{"formula": "Y2InCl", "functional": "PBEsol", "state": "relaxed", "e_form_raw_ev_per_atom": -0.79, "dos_ef_per_ev_cell": 1.6, "e_tot_ev_per_atom": -5.447, "total_magnetization_mub_per_atom": 0.000, "lattice_angstrom": [[3.446, 0.000, 0.000], [0.000, 4.806, 0.000], [-1.723, -2.403, 6.046]], "species": ["Y", "Y", "Cl", "In"], "frac_coords": [[0.785, 0.785, 0.570], [0.031, 0.531, 0.062], [0.466, 0.966, 0.931], [0.218, 0.218, 0.436]]}


{"formula": "Zn3InCl", "functional": "PBEsol", "state": "relaxed", "e_form_raw_ev_per_atom": 0.53, "dos_ef_per_ev_cell": 1.9, "e_tot_ev_per_atom": -1.421, "total_magnetization_mub_per_atom": 0.000, "lattice_angstrom": [[4.881, 0.000, 0.000], [0.000, 4.881, 0.000], [0.000, 0.000, 4.881]], "species": ["Cl", "Zn", "Zn", "Zn", "In"], "frac_coords": [[0.000, 0.000, 0.000], [0.000, 0.500, 0.000], [0.000, 0.000, 0.500], [0.500, 0.000, 0.000], [0.500, 0.500, 0.500]]}


{"formula": "ZrInCl", "functional": "PBEsol", "state": "relaxed", "e_form_raw_ev_per_atom": 0.59, "dos_ef_per_ev_cell": 2.9, "e_tot_ev_per_atom": -4.105, "total_magnetization_mub_per_atom": 0.600, "lattice_angstrom": [[4.888, 0.000, 0.000], [2.444, 4.234, 0.000], [2.444, 1.411, 3.991]], "species": ["Cl", "Zr", "In"], "frac_coords": [[0.500, 0.500, 0.500], [0.000, 0.000, 0.000], [0.750, 0.750, 0.750]]}


{"formula": "ZrIn2Cl", "functional": "PBEsol", "state": "relaxed", "e_above_lowest_polymorph_mev_per_atom": 0, "e_form_raw_ev_per_atom": -0.50, "dos_ef_per_ev_cell": 2.8, "e_tot_ev_per_atom": -4.767, "total_magnetization_mub_per_atom": 0.000, "lattice_angstrom": [[3.112, 0.000, 0.000], [0.000, 5.362, 0.011], [-1.556, -1.817, 5.345]], "species": ["In", "In", "Cl", "Zr"], "frac_coords": [[0.987, 0.961, 0.973], [0.779, 0.315, 0.557], [0.204, 0.753, 0.409], [0.530, 0.472, 0.061]]}